VASP calculation (PBE-GGA) on a geometry-optimized Rb2CaReBr6 structure.

The structure belongs to space group Fm-3m (No. 225); the cell edges are 10.883, 10.883 and 10.883 Å and the angles 90.00°, 90.00° and 90.00°. Symmetry generates all atoms from Rb at (0.250, 0.250, 0.250), Ca at (0.000, 0.000, 0.000), Re at (0.000, 0.000, 0.500) and Br at (0.000, 0.000, 0.263).

The value obtained for the uncorrected formation energy is -1070 meV/atom.

VASP calculation (PBE-GGA) on a geometry-optimized ZrCo2 structure.

The structure belongs to space group Pnma (No. 62); the cell edges are 5.274, 4.006 and 8.014 Å and the angles 90.00°, 90.00° and 90.00°. Symmetry generates all atoms from Zr at (0.166, 0.250, 0.106), Co at (0.078, 0.250, 0.745) and Co at (0.148, 0.250, 0.429).

The electronic total energy is -7.727 eV/atom.

VASP calculation (PBE-GGA) on a geometry-optimized La7SmZn4 structure.

The structure belongs to space group C2/m (No. 12); the cell edges are 14.077, 5.761 and 10.762 Å and the angles 90.00°, 124.51° and 90.00°. Symmetry generates all atoms from La at (0.000, 0.000, 0.000), La at (0.066, 0.500, 0.383), La at (0.205, 0.000, 0.646), La at (0.205, 0.500, 0.879), Sm at (0.000, 0.500, 0.000), Zn at (0.048, 0.000, 0.759) and Zn at (0.177, 0.000, 0.335).

The electronic total energy is -3.745 eV/atom.

What did the third record say?
VASP calculation (PBE-GGA) on a geometry-optimized La7SmZn4 structure.

The structure belongs to space group C2/m (No. 12); the cell edges are 14.077, 5.761 and 10.762 Å and the angles 90.00°, 124.51° and 90.00°. Symmetry generates all atoms from La at (0.000, 0.000, 0.000), La at (0.066, 0.500, 0.383), La at (0.205, 0.000, 0.646), La at (0.205, 0.500, 0.879), Sm at (0.000, 0.500, 0.000), Zn at (0.048, 0.000, 0.759) and Zn at (0.177, 0.000, 0.335).

The electronic total energy is -3.745 eV/atom.